# 1
! PBE-GGA Pm2ScGe3Pd4, relaxed; values from VASP
&SYSTEM
  ibrav = 0, nat = 10, ntyp = 4
/
ATOMIC_SPECIES
Pm 145.00 Pm.upf
Sc 44.96 Sc.upf
Ge 72.64 Ge.upf
Pd 106.42 Pd.upf
ATOMIC_POSITIONS angstrom
Pm 0.0000 2.1102 2.5371
Pm 2.1102 0.0000 8.5716
Sc 0.0000 0.0000 5.5543
Ge 0.0000 2.1102 9.6770
Ge 2.1102 0.0000 1.4316
Ge 2.1102 2.1102 5.5543
Pd 0.0000 0.0000 0.0000
Pd 0.0000 2.1102 7.1987
Pd 2.1102 0.0000 3.9100
Pd 2.1102 2.1102 0.0000
CELL_PARAMETERS angstrom
4.2203 0.0000 0.0000
0.0000 4.2203 0.0000
0.0000 0.0000 11.1086
! formation enthalpy at 0 K = -0.85 eV per atom

# 2
! PBE-GGA Mg14ZrSc, relaxed; values from VASP
&SYSTEM
  ibrav = 0, nat = 16, ntyp = 3
/
ATOMIC_SPECIES
Mg 24.30 Mg.upf
Zr 91.22 Zr.upf
Sc 44.96 Sc.upf
ATOMIC_POSITIONS angstrom
Mg 0.0000 0.0000 0.0000
Mg 0.0000 3.3554 0.0000
Mg 0.0000 3.3554 4.0229
Mg 1.6569 1.6569 2.0087
Mg 1.6569 1.6569 6.0370
Mg 1.6569 5.0539 2.0087
Mg 1.6569 5.0539 6.0370
Mg 3.3554 0.0000 0.0000
Mg 3.3554 0.0000 4.0229
Mg 3.3554 3.3554 0.0000
Mg 5.0539 1.6569 2.0087
Mg 5.0539 1.6569 6.0370
Mg 5.0539 5.0539 2.0087
Mg 5.0539 5.0539 6.0370
Zr 0.0000 0.0000 4.0229
Sc 3.3554 3.3554 4.0229
CELL_PARAMETERS angstrom
6.7108 0.0000 0.0000
0.0000 6.7108 0.0000
0.0000 0.0000 8.0457
! formation enthalpy at 0 K = 0.01 eV per atom

# 3
! PBE-GGA CsKPbCl6, relaxed; values from VASP
&SYSTEM
  ibrav = 0, nat = 9, ntyp = 4
/
ATOMIC_SPECIES
Cs 132.91 Cs.upf
K 39.10 K.upf
Pb 207.20 Pb.upf
Cl 35.45 Cl.upf
ATOMIC_POSITIONS angstrom
Cs 0.0000 0.0000 0.0000
K 0.0000 4.4466 3.5825
Pb 3.8509 2.2233 3.5825
Cl 2.8491 0.3729 5.0760
Cl 1.7475 2.2809 2.0890
Cl 4.8527 0.3729 2.0890
Cl 2.7493 4.0161 5.0760
Cl 5.9543 2.2809 5.0760
Cl 4.9524 4.0161 2.0890
CELL_PARAMETERS angstrom
7.7018 0.0000 0.0000
-3.8509 6.6699 0.0000
0.0000 0.0000 7.1651
! formation energy from raw total energies = -11.52 eV per formula unit

# 4
! PBE-GGA Y2ZrCo, relaxed; values from VASP
&SYSTEM
  ibrav = 0, nat = 4, ntyp = 3
/
ATOMIC_SPECIES
Y 88.91 Y.upf
Zr 91.22 Zr.upf
Co 58.93 Co.upf
ATOMIC_POSITIONS angstrom
Y 1.7907 1.7907 1.7907
Y 5.3722 5.3722 5.3722
Zr 0.0000 0.0000 0.0000
Co 3.5815 3.5815 3.5815
CELL_PARAMETERS angstrom
0.0000 3.5815 3.5815
3.5815 0.0000 3.5815
3.5815 3.5815 0.0000
! formation enthalpy at 0 K = 0.35 eV per atom
! E above lowest polymorph = 468 meV per atom

no.,spin magnetization (μB/atom),energy (eV per atom)
1,0.00,-5.900
2,0.00,-2.312
3,0.00,-3.140
4,0.64,-6.798